No. 1
PmPr4Cd2: optimized geometry, PBE.

Summary:
SG: I-42d, No. 122
Formation energy from the elements: 0.0240 eV per atom
Mass density: 6.76 g cm⁻³

```
14
Lattice="-6.008 -5.874 -0.435 7.079 -3.347 3.078 -2.685 6.183 5.035" Properties=species:S:1:pos:R:3 pbc="T T T"
Pr 1.579 -5.932 2.122
Pr 4.554 -1.503 4.705
Pr 0.269 -2.877 4.703
Pr -5.188 -0.043 4.725
Pr -2.152 2.856 5.005
Pr -2.863 -1.653 1.224
Pr 1.034 0.241 3.198
Pr -3.689 -3.243 5.031
Cd 2.565 -2.603 2.391
Cd 2.016 -0.437 6.470
Cd -2.006 -0.513 4.137
Cd -5.803 -2.524 2.359
Pm 0.000 0.000 0.000
Pm -1.638 -4.534 2.472
```



No. 2
PmPrCdPt: optimized geometry, PBE.

Summary:
SG: F-43m, No. 216
Formation energy from the elements: -0.6195 eV per atom
Mass density: 9.57 g cm⁻³

```
4
Lattice="5.261 0.000 0.000 2.630 4.556 0.000 2.630 1.519 4.295" Properties=species:S:1:pos:R:3 pbc="T T T"
Pt 2.630 1.519 1.074
Cd 7.891 4.556 3.221
Pm 0.000 0.000 0.000
Pr 5.261 3.037 2.148
```



No. 3
PmPrPuCd: optimized geometry, PBE.

Summary:
SG: F-43m, No. 216
Formation energy from the elements: 0.1342 eV per atom
Mass density: 8.93 g cm⁻³

```
4
Lattice="-0.505 3.398 4.330 -1.767 -1.958 4.858 3.504 -0.406 4.256" Properties=species:S:1:pos:R:3 pbc="T T T"
Cd 0.924 0.775 10.083
Pr 0.616 0.517 6.722
Pm 0.308 0.258 3.361
Pu 0.000 0.000 0.000
```